Entry 1:
Material: K2ScZnF
Method: DFT, PBE
State: optimized geometry

Cell: 7.312 4.036 7.312 Å, 90.00 90.00 90.00°
Last column: magnetic moment on the atom in μB.
Fractional coordinates of all 5 atoms:
1 K 0.500 0.000 0.000  0.01
2 Sc 0.000 0.000 0.000  0.54
3 Zn 0.500 0.500 0.500  0.01
4 K 0.000 0.000 0.500  0.01
5 F 0.000 0.500 0.000  -0.01

Summary:
Uncorrected energy   -2.856 eV/atom
E_form (uncorrected)   -521 meV per atom
DOS at the Fermi energy   3.1 states/eV/f.u.

***

Entry 2:
Material: SbPb2Au7
Method: DFT, PBE
State: optimized geometry

Cell: 4.063 4.063 13.739 Å, 90.00 90.00 90.00°
Fractional coordinates of all 10 atoms:
1 Au 0.500 0.000 0.153
2 Au 0.000 0.000 0.000
3 Pb 0.500 0.000 0.744
4 Au 0.000 0.500 0.847
5 Pb 0.000 0.500 0.256
6 Au 0.500 0.000 0.353
7 Sb 0.500 0.500 0.000
8 Au 0.500 0.500 0.500
9 Au 0.000 0.000 0.500
10 Au 0.000 0.500 0.647

Summary:
Uncorrected energy   -3.456 eV/atom
E_form (uncorrected)   -8 meV per atom
DOS at the Fermi energy   5.0 states/eV/f.u.

***

Entry 3:
Material: CaHI2
Method: DFT, PBE
State: optimized geometry

Cell: 9.052 7.231 9.333 Å, 90.00 119.82 90.00°
Fractional coordinates of all 16 atoms:
1 I 0.619 0.674 0.747
2 Ca 0.500 0.544 0.000
3 H 0.029 0.872 0.047
4 I 0.381 0.174 0.753
5 I 0.131 0.691 0.757
6 I 0.131 0.191 0.257
7 H 0.029 0.372 0.547
8 H 0.971 0.372 0.453
9 Ca 0.500 0.044 0.500
10 I 0.619 0.174 0.247
11 H 0.971 0.872 0.953
12 Ca 0.000 0.547 0.000
13 Ca 0.000 0.047 0.500
14 I 0.869 0.191 0.743
15 I 0.869 0.691 0.243
16 I 0.381 0.674 0.253

Summary:
Uncorrected energy   -3.219 eV/atom
DOS at the Fermi energy   0.0 states/eV/f.u.

***

Entry 4:
Material: CePmMo4
Method: DFT, PBE
State: optimized geometry

Cell: 5.557 5.557 5.557 Å, 60.00 60.00 60.00°
Fractional coordinates of all 6 atoms:
1 Ce 0.250 0.250 0.250
2 Pm 0.000 0.000 0.000
3 Mo 0.625 0.625 0.625
4 Mo 0.625 0.625 0.126
5 Mo 0.126 0.625 0.625
6 Mo 0.625 0.126 0.625

Summary:
Uncorrected energy   -8.801 eV/atom
E_form   0.20 eV/atom
DOS at the Fermi energy   6.9 states/eV/f.u.

***

Entry 5:
Material: ZrSbP
Method: DFT, PBE
State: optimized geometry

Cell: 3.603 7.090 9.850 Å, 90.00 90.00 90.00°
Fractional coordinates of all 12 atoms:
1 Sb 0.750 0.833 0.070
2 Zr 0.750 0.891 0.760
3 Sb 0.250 0.667 0.570
4 Zr 0.250 0.609 0.260
5 Zr 0.250 0.109 0.240
6 Zr 0.750 0.391 0.740
7 Sb 0.750 0.333 0.430
8 P 0.250 0.638 0.855
9 P 0.750 0.362 0.145
10 Sb 0.250 0.167 0.930
11 P 0.250 0.138 0.645
12 P 0.750 0.862 0.355

Summary:
Uncorrected energy   -6.588 eV/atom
Relative energy among the computed polymorphs   0.46 eV per formula unit
E_form (uncorrected)   -561 meV per atom
DOS at the Fermi energy   1.7 states/eV/f.u.

***

Entry 6:
Material: La2CrCd
Method: DFT, PBE
State: optimized geometry

Cell: 5.252 5.252 5.252 Å, 60.00 60.00 60.00°
Last column: magnetic moment on the atom in μB.
Fractional coordinates of all 4 atoms:
1 Cr 0.750 0.750 0.750  -3.59
2 Cd 0.500 0.500 0.500  0.02
3 La 0.000 0.000 0.000  -0.02
4 La 0.250 0.250 0.250  0.16

Summary:
Uncorrected energy   -4.930 eV/atom
E_form   0.17 eV/atom
DOS at the Fermi energy   4.6 states/eV/f.u.